# 1
VASP calculation (PBE) on crystalline Ga2SnBr at its relaxed geometry.

## Properties
The calculation puts the formation energy (no corrections) at 0.0341 eV per atom. The calculation puts the energy above the most stable polymorph in this dataset at 54.1 meV/atom. The value obtained for the density of states at the Fermi level is 2.66 states/eV/cell.

a b c (Å): 5.156 5.156 5.156
angles (deg): 60.00 60.00 60.00
Fractional coordinates of all 4 atoms:
1 Ga 0.250 0.250 0.250
2 Ga 0.750 0.750 0.750
3 Sn 0.000 0.000 0.000
4 Br 0.500 0.500 0.500



# 2
VASP calculation (PBE) on crystalline CaMgPt at its relaxed geometry.

## Properties
For the formation energy, the calculation gives -0.631 eV/atom. The value obtained for the density of states at the Fermi level is 1.38 states/eV/cell.

a b c (Å): 6.123 6.123 6.123
angles (deg): 147.23 147.23 47.03
Fractional coordinates of all 3 atoms:
1 Ca 0.000 0.000 0.000
2 Mg 0.274 0.274 0.000
3 Pt 0.661 0.661 0.000



# 3
VASP calculation (PBE) on crystalline CaAlCl3 at its relaxed geometry.

## Properties
The calculation puts the formation energy (no corrections) at -0.9992 eV per atom. The value obtained for the density of states at the Fermi level is 3.65 states/eV/cell.

a b c (Å): 5.142 5.142 5.142
angles (deg): 90.00 90.00 90.00
Fractional coordinates of all 5 atoms:
1 Ca 0.000 0.000 0.000
2 Al 0.500 0.500 0.500
3 Cl 0.000 0.500 0.500
4 Cl 0.500 0.000 0.500
5 Cl 0.500 0.500 0.000



# 4
VASP calculation (PBE) on crystalline Fe2CoHg at its relaxed geometry.

## Properties
For the formation energy, the calculation gives 0.263 eV/atom. The value obtained for the density of states at the Fermi level is 2.75 states/eV/cell.

a b c (Å): 2.872 3.359 5.834
angles (deg): 90.00 90.00 90.00
Fractional coordinates of all 4 atoms:
1 Fe 0.000 0.000 0.201
2 Fe 0.000 0.000 0.799
3 Co 0.500 0.500 0.000
4 Hg 0.500 0.500 0.500



# 5
VASP calculation (PBE) on crystalline SbMoIr2 at its relaxed geometry.

## Properties
The calculation puts the formation energy (no corrections) at 0.0616 eV per atom. The value obtained for the density of states at the Fermi level is 3.40 states/eV/cell.

a b c (Å): 2.953 3.941 5.655
angles (deg): 90.00 90.07 90.00
Fractional coordinates of all 4 atoms:
1 Sb 0.000 0.000 0.000
2 Mo 0.000 0.000 0.500
3 Ir 0.500 0.500 0.266
4 Ir 0.500 0.500 0.734



# 6
VASP calculation (PBE) on crystalline Ho3Sb at its relaxed geometry.

## Properties
The calculation puts the formation energy (no corrections) at -0.4635 eV per atom. The calculation puts the energy above the most stable polymorph in this dataset at 110.8 meV/atom. The value obtained for the density of states at the Fermi level is 5.12 states/eV/cell.

a b c (Å): 4.758 4.758 4.758
angles (deg): 90.00 90.00 90.00
Fractional coordinates of all 4 atoms:
1 Ho 0.000 0.000 0.500
2 Ho 0.000 0.500 0.000
3 Ho 0.500 0.000 0.000
4 Sb 0.500 0.500 0.500



# 7
VASP calculation (PBE) on crystalline Rb4Sm3SnO8 at its relaxed geometry.

## Properties
The calculation puts the formation energy (no corrections) at -2.2581 eV per atom. The value obtained for the density of states at the Fermi level is 1.80 states/eV/cell.

a b c (Å): 7.788 7.788 7.788
angles (deg): 54.90 54.90 54.90
Fractional coordinates of all 16 atoms:
1 Rb 0.000 0.000 0.000
2 Rb 0.000 0.500 0.500
3 Rb 0.500 0.000 0.500
4 Rb 0.500 0.500 0.000
5 Sm 0.000 0.000 0.500
6 Sm 0.000 0.500 0.000
7 Sm 0.500 0.000 0.000
8 Sn 0.500 0.500 0.500
9 O 0.226 0.226 0.226
10 O 0.230 0.725 0.725
11 O 0.275 0.275 0.770
12 O 0.275 0.770 0.275
13 O 0.725 0.230 0.725
14 O 0.725 0.725 0.230
15 O 0.770 0.275 0.275
16 O 0.774 0.774 0.774



# 8
VASP calculation (PBE) on crystalline CoCuOs at its relaxed geometry.

## Properties
The calculation puts the energy above the most stable polymorph in this dataset at 116.1 meV/atom. For the formation energy, the calculation gives 0.346 eV/atom. The value obtained for the density of states at the Fermi level is 3.65 states/eV/cell.

a b c (Å): 4.091 4.091 2.545
angles (deg): 90.00 90.00 120.00
Fractional coordinates of all 3 atoms:
1 Co 0.000 0.000 0.000
2 Cu 0.333 0.667 0.000
3 Os 0.667 0.333 0.500